Ba2InAg | the Alexandria database | PBEsol | relaxed; energy relative to the elements = -1.0 eV per formula unit; energy = -2.91 eV per atom; calculated volume = 33.322 Å³/atom; total magnetization = 0.00 μB per formula unit
1.0
-1.737 -2.735 -2.330
0.766 -3.965 4.082
-4.693 4.690 1.410
Ba Ag In
2 1 1
Direct
0.035 0.036 0.070
0.227 0.727 0.454
0.785 0.284 0.571
0.452 0.453 0.905

***

CaTl2Si2 | the Alexandria database | PBEsol | relaxed; energy = -3.73 eV per atom; energy relative to the elements, uncorrected = 43 meV/atom; calculated volume = 24.623 Å³/atom; total magnetization = 0.00 μB per formula unit
1.0
-0.346 -3.420 2.764
-1.475 -2.522 -3.305
6.854 1.272 -1.086
Tl Si Ca
2 2 1
Direct
0.250 0.750 0.500
0.750 0.250 0.500
0.410 0.410 0.821
0.590 0.590 0.179
0.000 0.000 0.000

***

TlIn2P | the Alexandria database | PBEsol | relaxed; ΔE to the lowest computed polymorph = 0.262 eV/atom; energy relative to the elements = 1.0 eV per formula unit; energy = -3.36 eV per atom; calculated volume = 23.351 Å³/atom; total magnetization = 0.00 μB per formula unit
1.0
5.093 0.000 0.000
2.546 4.411 0.000
2.546 1.470 4.158
In P Tl
2 1 1
Direct
0.250 0.250 0.250
0.750 0.750 0.750
0.000 0.000 0.000
0.500 0.500 0.500

***

SmIn3Pt | the Alexandria database | PBEsol | relaxed; energy relative to the elements = -3.1 eV per formula unit; energy = -4.82 eV per atom; calculated volume = 22.497 Å³/atom; total magnetization = 0.00 μB per formula unit
1.0
9.654 0.000 0.000
0.000 9.654 0.000
0.000 0.000 9.654
Sm In Pt
8 24 8
Direct
0.000 0.000 0.000
0.500 0.500 0.500
0.250 0.000 0.500
0.750 0.000 0.500
0.500 0.250 0.000
0.500 0.750 0.000
0.000 0.500 0.250
0.000 0.500 0.750
0.000 0.151 0.319
0.000 0.849 0.681
0.000 0.849 0.319
0.000 0.151 0.681
0.319 0.000 0.151
0.651 0.500 0.181
0.681 0.000 0.849
0.349 0.500 0.819
0.319 0.000 0.849
0.349 0.500 0.181
0.681 0.000 0.151
0.651 0.500 0.819
0.151 0.319 0.000
0.500 0.819 0.349
0.849 0.681 0.000
0.500 0.181 0.651
0.151 0.681 0.000
0.500 0.181 0.349
0.849 0.319 0.000
0.500 0.819 0.651
0.181 0.651 0.500
0.819 0.349 0.500
0.181 0.349 0.500
0.819 0.651 0.500
0.250 0.250 0.250
0.750 0.750 0.750
0.750 0.750 0.250
0.750 0.250 0.750
0.250 0.250 0.750
0.250 0.750 0.250
0.250 0.750 0.750
0.750 0.250 0.250